The following is a PBE calculation of crystalline Dy3Ho3ErTe8 at its relaxed geometry, from the Alexandria database.

ρ, g/cm3: 7.9
Formation energy from raw total energies, meV/atom: -1344.2
Crystal system: trigonal

a = 8.6524 Å, b = 8.6524 Å, c = 21.1949 Å
α = 90.00°, β = 90.00°, γ = 120.00°
With the nearest neighbours (Å) after each atom.
Space group R-3m (No. 166, hexagonal axes)
Asymmetric unit:
Dy: 0.0000 0.5000 0.0000  6 Te 3.07
Ho: 0.0000 0.5000 0.5000  6 Te 3.05
Er: 0.0000 0.0000 0.5000  6 Te 3.12
Te: 0.0000 0.0000 0.2495  3 Ho 3.05, 3 Dy 3.07
Te: 0.0068 0.5034 0.7488  2 Ho 3.05, 2 Dy 3.07, 1 Er 3.12

***

The following is a PBE calculation of crystalline Dy2Ho3ErTe6 at its relaxed geometry, from the Alexandria database.

ρ, g/cm3: 8.4
Formation energy from raw total energies, meV/atom: -1250.3
Crystal system: monoclinic

a = 18.8878 Å, b = 4.3167 Å, c = 8.7185 Å
α = 90.00°, β = 103.13°, γ = 90.00°
With the nearest neighbours (Å) after each atom.
Space group C2/m (No. 12)
Asymmetric unit:
Dy: 0.1678 0.0000 0.3340  6 Te 3.06-3.10
Ho: 0.0000 0.5000 0.5000  6 Te 3.05-3.07
Ho: 0.1683 0.0000 0.8324  6 Te 3.05-3.08
Er: 0.0000 0.5000 0.0000  6 Te 3.04-3.06
Te: 0.0006 0.0000 0.7515  2 Er 3.06, 3 Ho 3.07-3.08, 1 Dy 3.10
Te: 0.1655 0.5000 0.0808  1 Er 3.04, 3 Ho 3.06-3.07, 2 Dy 3.08
Te: 0.1657 0.5000 0.5832  3 Ho 3.05, 3 Dy 3.06-3.07

***

The following is a PBE calculation of crystalline DyHo2ErTh at its relaxed geometry, from the Alexandria database.

ΔE_f, kJ/mol of atoms: 33
ρ, g/cm3: 8.9
Crystal system: monoclinic

a = 8.4711 Å, b = 6.3183 Å, c = 6.2798 Å
α = 90.00°, β = 97.11°, γ = 90.00°
With the nearest neighbours (Å) after each atom.
Space group P2/c (No. 13)
Asymmetric unit:
Dy: 0.0000 0.0000 0.0000  2 Dy 3.14, 2 Th 3.24, 2 Ho 3.41
Ho: 0.3130 0.3036 0.2132  1 Th 3.12, 1 Ho 3.14, 1 Dy 3.41, 1 Er 3.44
Er: 0.5000 0.1812 0.7500  8 Ho 3.44-3.63
Th: 0.0000 0.4477 0.7500  2 Ho 3.12, 2 Th 3.21, 2 Dy 3.24

***

The following is a PBE calculation of crystalline DyHo6Er2Th3 at its relaxed geometry, from the Alexandria database.

ΔE_f, kJ/mol of atoms: 2
ρ, g/cm3: 9.6
Crystal system: monoclinic

a = 6.1483 Å, b = 10.6431 Å, c = 11.6669 Å
α = 90.00°, β = 100.13°, γ = 90.00°
With the nearest neighbours (Å) after each atom.
Space group C2/m (No. 12)
Asymmetric unit:
Dy: 0.0000 0.0000 0.0000  6 Er 3.55, 6 Ho 3.55-3.56
Ho: 0.2494 0.0000 0.7472  3 Th 3.50, 6 Ho 3.55, 2 Er 3.55, 1 Dy 3.56
Ho: 0.2492 0.3333 0.7473  3 Th 3.50, 6 Ho 3.55, 2 Er 3.55, 1 Dy 3.55
Er: 0.0000 0.3333 0.0000  3 Dy 3.55, 3 Er 3.55, 6 Ho 3.55
Th: 0.0000 0.1666 0.5000  6 Ho 3.50, 6 Th 3.55
Th: 0.0000 0.5000 0.5000  6 Ho 3.50, 6 Th 3.55

***

The following is a PBE calculation of crystalline Dy2Ho4ErTh at its relaxed geometry, from the Alexandria database.

ΔE_f, kJ/mol of atoms: 3
ρ, g/cm3: 9.2
Crystal system: orthorhombic

a = 4.9992 Å, b = 5.0124 Å, c = 9.9705 Å
α = 90.00°, β = 90.00°, γ = 90.00°
With the nearest neighbours (Å) after each atom.
Space group Pmmm (No. 47)
Asymmetric unit:
Dy: 0.0000 0.0000 0.0000  8 Ho 3.52-3.53, 4 Th 3.54
Dy: 0.5000 0.5000 0.5000  8 Ho 3.54-3.55, 4 Er 3.54
Ho: 0.0000 0.5000 0.2488  2 Th 3.52, 4 Dy 3.53-3.54, 4 Ho 3.54, 2 Er 3.54
Ho: 0.5000 0.0000 0.2484  4 Dy 3.52-3.55, 2 Th 3.52, 4 Ho 3.54, 2 Er 3.54
Er: 0.0000 0.0000 0.5000  4 Dy 3.54, 8 Ho 3.54
Th: 0.5000 0.5000 0.0000  8 Ho 3.52, 4 Dy 3.54

***

The following is a PBE calculation of crystalline Dy2HoEr5Th at its relaxed geometry, from the Alexandria database.

ΔE_f, kJ/mol of atoms: 16
ρ, g/cm3: 8.9
Crystal system: orthorhombic

a = 5.6463 Å, b = 21.3630 Å, c = 9.6393 Å
α = 90.00°, β = 90.00°, γ = 90.00°
With the nearest neighbours (Å) after each atom.
Space group Cmc2_1 (No. 36)
Asymmetric unit:
Dy: 0.0000 0.1147 0.0000  9 Er 3.31-3.67, 1 Ho 3.40, 1 Dy 3.70
Dy: 0.0000 0.1306 0.6173  1 Ho 3.23, 3 Er 3.32-3.61, 2 Th 3.57
Ho: 0.0000 0.1908 0.3102  2 Dy 3.23-3.40, 5 Er 3.42-3.47, 2 Th 3.60
Er: 0.0000 0.0144 0.3096  3 Dy 3.31-3.67, 2 Th 3.43, 2 Er 3.57
Er: 0.0000 0.2701 0.0008  1 Th 3.02, 1 Dy 3.32
Er: 0.0000 0.3054 0.6095  4 Er 3.42-3.68, 3 Ho 3.42-3.78, 3 Dy 3.46-3.74, 1 Th 3.55
Er: 0.0000 0.3972 0.2867  2 Er 3.27-3.44, 4 Dy 3.32-3.50
Er: 0.0000 0.4696 0.5859  2 Th 3.20-3.37, 5 Er 3.27-3.57, 2 Dy 3.45
Th: 0.0000 0.4047 0.9045  3 Er 3.02-3.37

***

The following is a PBE calculation of crystalline Dy4Ho2ErTh at its relaxed geometry, from the Alexandria database.

ΔE_f, kJ/mol of atoms: 3
ρ, g/cm3: 9.1
Crystal system: orthorhombic

a = 5.0010 Å, b = 5.0124 Å, c = 10.0027 Å
α = 90.00°, β = 90.00°, γ = 90.00°
With the nearest neighbours (Å) after each atom.
Space group Pmmm (No. 47)
Asymmetric unit:
Dy: 0.0000 0.0000 0.2490  2 Th 3.53, 4 Ho 3.53-3.54, 4 Dy 3.54, 2 Er 3.55
Dy: 0.5000 0.5000 0.2486  4 Ho 3.53-3.55, 2 Th 3.53, 4 Dy 3.54, 2 Er 3.55
Ho: 0.0000 0.5000 0.0000  8 Dy 3.53, 4 Th 3.54
Ho: 0.5000 0.0000 0.5000  4 Er 3.54, 8 Dy 3.54-3.55
Er: 0.0000 0.5000 0.5000  4 Ho 3.54, 8 Dy 3.55
Th: 0.5000 0.0000 0.0000  8 Dy 3.53, 4 Ho 3.54

***

The following is a PBE calculation of crystalline Dy2HoErTh at its relaxed geometry, from the Alexandria database.

ΔE_f, kJ/mol of atoms: 32
ρ, g/cm3: 8.8
Crystal system: monoclinic

a = 8.4593 Å, b = 6.3170 Å, c = 6.2884 Å
α = 90.00°, β = 96.53°, γ = 90.00°
With the nearest neighbours (Å) after each atom.
Space group P2/c (No. 13)
Asymmetric unit:
Dy: 0.1877 0.1994 0.2842  1 Th 3.11, 1 Dy 3.16, 1 Ho 3.41, 1 Er 3.44
Ho: 0.5000 0.5000 0.0000  2 Ho 3.14, 2 Th 3.23, 2 Dy 3.41
Er: 0.0000 0.3169 0.7500  8 Dy 3.44-3.63
Th: 0.5000 0.0526 0.7500  2 Dy 3.11, 2 Th 3.21, 2 Ho 3.23

***

The following is a PBE calculation of crystalline DyHoErTh2 at its relaxed geometry, from the Alexandria database.

ΔE_f, kJ/mol of atoms: 41
ρ, g/cm3: 9.3
Crystal system: orthorhombic

a = 6.6249 Å, b = 15.5548 Å, c = 6.6279 Å
α = 90.00°, β = 90.00°, γ = 90.00°
With the nearest neighbours (Å) after each atom.
Space group Cmcm (No. 63)
Asymmetric unit:
Dy: 0.0000 0.1523 0.2500  1 Er 3.05, 4 Th 3.33
Ho: 0.0000 0.2484 0.7500  4 Dy 3.63-3.65, 4 Er 3.64-3.66
Er: 0.0000 0.3482 0.2500  1 Dy 3.05, 4 Th 3.33
Th: 0.2500 0.0000 0.0000  4 Th 3.31, 2 Er 3.33, 2 Dy 3.33

***

The following is a PBE calculation of crystalline Dy3Ho2Er6Th at its relaxed geometry, from the Alexandria database.

ΔE_f, kJ/mol of atoms: 2
ρ, g/cm3: 9.2
Crystal system: monoclinic

a = 6.1118 Å, b = 10.5798 Å, c = 11.6782 Å
α = 90.00°, β = 100.05°, γ = 90.00°
With the nearest neighbours (Å) after each atom.
Space group C2/m (No. 12)
Asymmetric unit:
Dy: 0.0000 0.0000 0.0000  6 Dy 3.52-3.53, 6 Er 3.52-3.54
Dy: 0.0000 0.3327 0.0000  6 Dy 3.52-3.54, 6 Er 3.53
Ho: 0.0000 0.1667 0.5000  6 Er 3.52, 3 Th 3.53, 3 Ho 3.53
Er: 0.2463 0.5000 0.2506  6 Er 3.49-3.55, 1 Th 3.50, 2 Ho 3.52, 3 Dy 3.53-3.54
Er: 0.2490 0.3349 0.7494  6 Er 3.49-3.55, 1 Th 3.51, 2 Ho 3.52, 3 Dy 3.52-3.53
Th: 0.0000 0.5000 0.5000  6 Er 3.50-3.51, 6 Ho 3.53

***

The following is a PBE calculation of crystalline DyHo5Er2Th at its relaxed geometry, from the Alexandria database.

ΔE_f, kJ/mol of atoms: 16
ρ, g/cm3: 8.8
Crystal system: orthorhombic

a = 5.6604 Å, b = 21.3963 Å, c = 9.6331 Å
α = 90.00°, β = 90.00°, γ = 90.00°
With the nearest neighbours (Å) after each atom.
Space group Cmc2_1 (No. 36)
Asymmetric unit:
Dy: 0.0000 0.1898 0.0000  2 Er 3.22-3.40, 5 Ho 3.42-3.49, 2 Th 3.61
Ho: 0.0000 0.0143 0.0006  3 Er 3.32-3.70, 2 Th 3.44, 2 Ho 3.58
Ho: 0.0000 0.2714 0.3063  1 Th 3.02, 1 Er 3.34
Ho: 0.0000 0.3046 0.6993  3 Dy 3.42-3.80, 4 Ho 3.42-3.71, 3 Er 3.48-3.75, 1 Th 3.57
Ho: 0.0000 0.3982 0.0238  2 Ho 3.26-3.44, 4 Er 3.32-3.50
Ho: 0.0000 0.4688 0.7244  2 Th 3.20-3.37, 5 Ho 3.26-3.58, 2 Er 3.46
Er: 0.0000 0.1155 0.3119  9 Ho 3.32-3.70, 1 Dy 3.40, 1 Er 3.69
Er: 0.0000 0.1294 0.6937  1 Dy 3.22, 3 Ho 3.32-3.59, 2 Th 3.56
Th: 0.0000 0.4054 0.4044  3 Ho 3.02-3.37

***

The following is a PBE calculation of crystalline Dy6HoEr2Th at its relaxed geometry, from the Alexandria database.

ΔE_f, kJ/mol of atoms: 14
ρ, g/cm3: 8.9
Crystal system: monoclinic

a = 9.2856 Å, b = 14.9547 Å, c = 9.2049 Å
α = 90.00°, β = 94.19°, γ = 90.00°
With the nearest neighbours (Å) after each atom.
Space group C2/c (No. 15)
Asymmetric unit:
Dy: 0.0549 0.1749 0.4401  7 Dy 3.41-3.70, 1 Er 3.41, 2 Th 3.60-3.61
Dy: 0.0965 0.3832 0.6089  4 Dy 3.21-3.49, 3 Er 3.30-3.42, 2 Ho 3.39-3.44
Dy: 0.2135 0.2209 0.8125  3 Dy 3.21-3.58, 1 Er 3.37, 1 Ho 3.42, 1 Th 3.44
Ho: 0.0000 0.4142 0.2500  6 Dy 3.39-3.44, 4 Er 3.47-3.78
Er: 0.2449 0.4475 0.9441  6 Dy 3.30-3.60, 2 Th 3.34-3.55, 1 Ho 3.47
Th: 0.0000 0.0352 0.7500  4 Er 3.34-3.55, 6 Dy 3.44-3.61

***

The following is a PBE calculation of crystalline Dy6Ho2Er3Th at its relaxed geometry, from the Alexandria database.

ΔE_f, kJ/mol of atoms: 2
ρ, g/cm3: 9.0
Crystal system: monoclinic

a = 6.1256 Å, b = 10.5998 Å, c = 11.7276 Å
α = 90.00°, β = 100.01°, γ = 90.00°
With the nearest neighbours (Å) after each atom.
Space group C2/m (No. 12)
Asymmetric unit:
Dy: 0.2462 0.0000 0.2498  6 Dy 3.50-3.55, 1 Th 3.52, 3 Er 3.53-3.55, 2 Ho 3.54
Dy: 0.2493 0.1652 0.7502  6 Dy 3.50-3.55, 3 Er 3.53-3.54, 1 Th 3.53, 2 Ho 3.54
Ho: 0.0000 0.3333 0.5000  3 Th 3.53-3.54, 3 Ho 3.53-3.54, 6 Dy 3.54
Er: 0.0000 0.1673 0.0000  6 Er 3.53-3.55, 6 Dy 3.53-3.54
Er: 0.0000 0.5000 0.0000  6 Er 3.53-3.54, 6 Dy 3.53-3.55
Th: 0.0000 0.0000 0.5000  6 Dy 3.52-3.53, 6 Ho 3.53-3.54

***

The following is a PBE calculation of crystalline Dy3HoErTh at its relaxed geometry, from the Alexandria database.

ΔE_f, kJ/mol of atoms: 19
ρ, g/cm3: 8.9
Crystal system: monoclinic

a = 21.8330 Å, b = 5.4124 Å, c = 6.7155 Å
α = 90.00°, β = 99.29°, γ = 90.00°
With the nearest neighbours (Å) after each atom.
Space group C2/m (No. 12)
Asymmetric unit:
Dy: 0.0267 0.0000 0.2723  1 Er 3.29, 2 Ho 3.36-3.55, 2 Dy 3.44-3.66, 2 Th 3.45
Dy: 0.1643 0.5000 0.2607  2 Er 3.22, 2 Ho 3.39, 1 Dy 3.50
Dy: 0.2241 0.5000 0.8068  3 Ho 3.29-3.61, 1 Th 3.39, 3 Er 3.42-3.46, 1 Dy 3.50
Ho: 0.1318 0.0000 0.9574  1 Er 3.16, 4 Dy 3.29-3.39, 2 Th 3.48
Er: 0.1691 0.0000 0.5219  1 Ho 3.16, 6 Dy 3.22-3.46
Th: 0.0673 0.5000 0.6731  4 Dy 3.39-3.75, 1 Th 3.44, 2 Ho 3.48, 2 Er 3.74

***

The following is a PBE calculation of crystalline DyHoEr5Th2 at its relaxed geometry, from the Alexandria database.

ΔE_f, kJ/mol of atoms: 34
ρ, g/cm3: 9.3
Crystal system: tetragonal

a = 8.6921 Å, b = 8.6921 Å, c = 15.3948 Å
α = 90.00°, β = 90.00°, γ = 90.00°
With the nearest neighbours (Å) after each atom.
Space group I4/mcm (No. 140)
Asymmetric unit:
Dy: 0.0000 0.5000 0.2500  4 Er 3.09
Ho: 0.0000 0.0000 0.2500  10 Er 3.54-3.85
Er: 0.0000 0.0000 0.0000  4 Th 3.47, 8 Er 3.79, 2 Ho 3.85
Er: 0.2107 0.2893 0.1405  1 Th 3.01, 1 Dy 3.09
Th: 0.1195 0.3805 0.5000  1 Th 2.94, 2 Er 3.01

***

The following is a PBE calculation of crystalline Dy2Ho3Er6Th at its relaxed geometry, from the Alexandria database.

ΔE_f, kJ/mol of atoms: 2
ρ, g/cm3: 9.2
Crystal system: monoclinic

a = 6.1101 Å, b = 10.5750 Å, c = 11.6711 Å
α = 90.00°, β = 100.05°, γ = 90.00°
With the nearest neighbours (Å) after each atom.
Space group C2/m (No. 12)
Asymmetric unit:
Dy: 0.0000 0.1667 0.0000  3 Th 3.52-3.53, 6 Er 3.53, 3 Dy 3.53
Ho: 0.0000 0.0000 0.5000  6 Er 3.51-3.54, 6 Ho 3.52-3.53
Ho: 0.0000 0.3327 0.5000  6 Er 3.52-3.53, 6 Ho 3.52-3.54
Er: 0.2459 0.5000 0.7499  6 Er 3.49-3.54, 1 Th 3.51, 3 Ho 3.52-3.54, 2 Dy 3.53
Er: 0.2492 0.3349 0.2501  6 Er 3.49-3.54, 1 Th 3.51, 3 Ho 3.51-3.53, 2 Dy 3.53
Th: 0.0000 0.5000 0.0000  6 Er 3.51, 6 Dy 3.52-3.53

***

The following is a PBE calculation of crystalline Dy6HoErTh2 at its relaxed geometry, from the Alexandria database.

ΔE_f, kJ/mol of atoms: 13
ρ, g/cm3: 9.2
Crystal system: monoclinic

a = 9.8930 Å, b = 20.2457 Å, c = 6.3881 Å
α = 90.00°, β = 93.35°, γ = 90.00°
With the nearest neighbours (Å) after each atom.
Space group C2/c (No. 15)
Asymmetric unit:
Dy: 0.0739 0.1419 0.0157  5 Dy 3.29-3.62, 2 Ho 3.36-3.37, 1 Th 3.38, 1 Er 3.56
Dy: 0.1142 0.4338 0.9598  4 Dy 3.40-3.74, 4 Th 3.46-3.66, 1 Er 3.56
Dy: 0.1751 0.2669 0.7346  5 Dy 3.29-3.68, 1 Th 3.38, 2 Er 3.46-3.51
Ho: 0.0000 0.0020 0.7500  2 Ho 3.20, 4 Dy 3.36-3.37, 2 Th 3.49
Er: 0.0000 0.2965 0.2500  10 Dy 3.46-3.86, 2 Th 3.50
Th: 0.2456 0.4055 0.4661  7 Dy 3.38-3.77, 2 Ho 3.49-3.59, 1 Er 3.50

***

The following is a PBE calculation of crystalline Dy6Ho2ErTh3 at its relaxed geometry, from the Alexandria database.

ΔE_f, kJ/mol of atoms: 2
ρ, g/cm3: 9.5
Crystal system: monoclinic

a = 6.1607 Å, b = 10.6634 Å, c = 11.7084 Å
α = 90.00°, β = 100.11°, γ = 90.00°
With the nearest neighbours (Å) after each atom.
Space group C2/m (No. 12)
Asymmetric unit:
Dy: 0.2491 0.0000 0.2470  3 Th 3.51, 6 Dy 3.56, 2 Ho 3.57, 1 Er 3.57
Dy: 0.2493 0.3334 0.2473  3 Th 3.51, 6 Dy 3.55-3.56, 1 Er 3.56, 2 Ho 3.56-3.57
Ho: 0.0000 0.3334 0.5000  3 Ho 3.55-3.56, 3 Er 3.56, 6 Dy 3.56-3.57
Er: 0.0000 0.0000 0.5000  6 Ho 3.56, 6 Dy 3.56-3.57
Th: 0.0000 0.1668 0.0000  6 Dy 3.51, 6 Th 3.55-3.56
Th: 0.0000 0.5000 0.0000  6 Dy 3.51, 6 Th 3.55-3.56

***

The following is a PBE calculation of crystalline Dy6Ho3ErTh2 at its relaxed geometry, from the Alexandria database.

ΔE_f, kJ/mol of atoms: 2
ρ, g/cm3: 9.2
Crystal system: monoclinic

a = 6.1404 Å, b = 10.6266 Å, c = 11.7444 Å
α = 90.00°, β = 100.05°, γ = 90.00°
With the nearest neighbours (Å) after each atom.
Space group C2/m (No. 12)
Asymmetric unit:
Dy: 0.2467 0.0000 0.2487  2 Th 3.52, 6 Dy 3.53-3.58, 1 Er 3.54, 3 Ho 3.54-3.56
Dy: 0.2489 0.1680 0.7517  2 Th 3.52, 6 Dy 3.53-3.58, 1 Er 3.54, 3 Ho 3.55-3.56
Ho: 0.0000 0.0000 0.5000  6 Ho 3.54, 6 Dy 3.54-3.56
Ho: 0.0000 0.3335 0.5000  6 Ho 3.54-3.55, 6 Dy 3.55-3.56
Er: 0.0000 0.5000 0.0000  6 Dy 3.54, 6 Th 3.54
Th: 0.0000 0.1666 0.0000  6 Dy 3.52, 3 Th 3.54-3.55, 3 Er 3.54

***

| no. | magnetic moment (Bohr magnetons per cell) | uncorrected energy (eV per atom) |
| --- | --- | --- |
| 1 | 0.00 | -5.1599 |
| 2 | 0.00 | -5.1128 |
| 3 | 0.00 | -4.8084 |
| 4 | 0.00 | -5.2638 |
| 5 | 0.00 | -4.9062 |
| 6 | 0.00 | -4.7247 |
| 7 | 0.00 | -4.9124 |
| 8 | 0.00 | -4.8176 |
| 9 | 0.00 | -5.2916 |
| 10 | 0.00 | -4.7902 |
| 11 | 0.01 | -4.7284 |
| 12 | 0.01 | -4.7237 |
| 13 | 0.00 | -4.7977 |
| 14 | 0.00 | -4.8670 |
| 15 | 0.00 | -4.8543 |
| 16 | 0.00 | -4.7865 |
| 17 | 0.00 | -5.0272 |
| 18 | 0.00 | -5.2745 |
| 19 | 0.00 | -5.0381 |